# 1
TcC3Cl | GGA-PBE | relaxed

**E above lowest polymorph**: 0 meV/atom
**Raw formation energy**: 1965 meV per atom
**Space group**: Pm-3m

a = 4.0870 Å, b = 4.0870 Å, c = 4.0870 Å
α = 90.00°, β = 90.00°, γ = 90.00°
Closest atoms and distances in Å follow each position.
Fractional positions:
Tc  0.0000  0.0000  0.0000  6 C 2.04
C  0.0000  0.0000  0.5000  2 Tc 2.04
C  0.0000  0.5000  0.0000  2 Tc 2.04
C  0.5000  0.0000  0.0000  2 Tc 2.04
Cl  0.5000  0.5000  0.5000  12 C 2.89

# 2
CsBeOs2 | GGA-PBE | relaxed

**ΔH_f (0 K)**: 1466 meV/atom
**Space group**: I-42d

a = 4.7744 Å, b = 4.7744 Å, c = 16.7182 Å
α = 90.00°, β = 90.00°, γ = 90.00°
Closest atoms and distances in Å follow each position.
Fractional positions:
Cs  0.0000  0.0000  0.0000  8 Os 3.22-3.56, 4 Be 3.38
Cs  0.0000  0.5000  0.2500  8 Os 3.22-3.56, 4 Be 3.38
Cs  0.5000  0.0000  0.7500  8 Os 3.22-3.56, 4 Be 3.38
Cs  0.5000  0.5000  0.5000  8 Os 3.22-3.56, 4 Be 3.38
Be  0.0000  0.0000  0.5000  4 Os 2.42
Be  0.0000  0.5000  0.7500  4 Os 2.42
Be  0.5000  0.0000  0.2500  4 Os 2.42
Be  0.5000  0.5000  0.0000  4 Os 2.42
Os  0.0505  0.7500  0.6250  2 Be 2.42, 2 Os 2.44
Os  0.2500  0.0505  0.3750  2 Be 2.42, 2 Os 2.44
Os  0.2500  0.4495  0.8750  2 Be 2.42, 2 Os 2.44
Os  0.4495  0.7500  0.1250  2 Be 2.42, 2 Os 2.44
Os  0.5505  0.2500  0.1250  2 Be 2.42, 2 Os 2.44
Os  0.7500  0.5505  0.8750  2 Be 2.42, 2 Os 2.44
Os  0.7500  0.9495  0.3750  2 Be 2.42, 2 Os 2.44
Os  0.9495  0.2500  0.6250  2 Be 2.42, 2 Os 2.44

# 3
La2TbZn | GGA-PBE | relaxed

**E above lowest polymorph**: 140 meV/atom
**ΔH_f (0 K)**: -17 meV/atom
**Space group**: R3m

a = 3.7071 Å, b = 3.7071 Å, c = 32.0197 Å
α = 90.00°, β = 90.00°, γ = 120.00°
Closest atoms and distances in Å follow each position.
Fractional positions:
La  0.0000  0.0000  0.0000  3 Zn 3.19
La  0.0000  0.0000  0.1856  3 Zn 3.19
La  0.3333  0.6667  0.6667  3 Zn 3.19
La  0.3333  0.6667  0.8523  3 Zn 3.19
La  0.6667  0.3333  0.3333  3 Zn 3.19
La  0.6667  0.3333  0.5190  3 Zn 3.19
Tb  0.0000  0.0000  0.4255  6 La 3.65-3.68, 6 Tb 3.71
Tb  0.3333  0.6667  0.0922  6 La 3.65-3.68, 6 Tb 3.71
Tb  0.6667  0.3333  0.7589  6 La 3.65-3.68, 6 Tb 3.71
Zn  0.0000  0.0000  0.5930  6 La 3.19
Zn  0.3333  0.6667  0.2597  6 La 3.19
Zn  0.6667  0.3333  0.9263  6 La 3.19